LiPb5 | PBEsol | optimized geometry

Properties
Formation enthalpy at 0 K (eV/atom): -0.06
Polymorph energy (0 for the lowest one) (meV per atom): 0

```
data_LiPb5
_cell_length_a 5.8991
_cell_length_b 5.8991
_cell_length_c 5.6642
_cell_angle_alpha 90.00
_cell_angle_beta 90.00
_cell_angle_gamma 120.00
_space_group_name_H-M_alt 'P -6 2 m'
_space_group_IT_number 189
_space_group_name_Hall 'P -6 -2'
loop_
_atom_site_label
_atom_site_type_symbol
_atom_site_fract_x
_atom_site_fract_y
_atom_site_fract_z
Li1 Li 0.0000 0.0000 0.0000
Pb1 Pb 0.0000 0.3296 0.5000
Pb2 Pb 0.3333 0.6667 0.0000
```

---

Ti2AlCo2 | PBEsol | optimized geometry

Properties
Formation enthalpy at 0 K (eV/atom): -0.44

```
data_Ti2AlCo2
_cell_length_a 6.748
_cell_length_b 6.748
_cell_length_c 2.911
_cell_angle_alpha 90.00
_cell_angle_beta 90.00
_cell_angle_gamma 90.00
_space_group_name_H-M_alt 'P 4/m b m'
_space_group_IT_number 127
_space_group_name_Hall '-P 4 2ab'
loop_
_atom_site_label
_atom_site_type_symbol
_atom_site_fract_x
_atom_site_fract_y
_atom_site_fract_z
Ti1 Ti 0.166 0.334 0.000
Al1 Al 0.000 0.000 0.500
Co1 Co 0.133 0.633 0.500
```

---

In2HgBr | PBEsol | optimized geometry

Properties
Energy relative to the elements, uncorrected (eV per atom): -0.2351
Polymorph energy (0 for the lowest one) (meV per atom): 14

```
data_In2HgBr
_cell_length_a 6.619
_cell_length_b 3.810
_cell_length_c 8.907
_cell_angle_alpha 90.00
_cell_angle_beta 104.14
_cell_angle_gamma 90.00
_space_group_name_H-M_alt 'C 1 2/m 1'
_space_group_IT_number 12
_space_group_name_Hall '-C 2y'
loop_
_atom_site_label
_atom_site_type_symbol
_atom_site_fract_x
_atom_site_fract_y
_atom_site_fract_z
In1 In 0.247 0.000 0.242
Hg1 Hg 0.000 0.500 0.000
Br1 Br 0.000 0.000 0.500
```

---

AgHg3 | PBEsol | optimized geometry

Properties
Formation enthalpy at 0 K (eV/atom): 0.04

```
data_AgHg3
_cell_length_a 3.2056
_cell_length_b 3.2056
_cell_length_c 28.3102
_cell_angle_alpha 90.00
_cell_angle_beta 90.00
_cell_angle_gamma 120.00
_space_group_name_H-M_alt 'R -3 m'
_space_group_IT_number 166
_space_group_name_Hall '-R 3 2"'
loop_
_atom_site_label
_atom_site_type_symbol
_atom_site_fract_x
_atom_site_fract_y
_atom_site_fract_z
Ag1 Ag 0.0000 0.0000 0.0000
Hg1 Hg 0.0000 0.0000 0.2551
Hg2 Hg 0.0000 0.0000 0.5000
```

---

HfGa2Ag | PBEsol | optimized geometry

Properties
Formation enthalpy at 0 K (eV/atom): -0.36

```
data_HfGa2Ag
_cell_length_a 4.134
_cell_length_b 4.134
_cell_length_c 3.915
_cell_angle_alpha 90.00
_cell_angle_beta 90.00
_cell_angle_gamma 90.00
_space_group_name_H-M_alt 'P 4/m m m'
_space_group_IT_number 123
_space_group_name_Hall '-P 4 2'
loop_
_atom_site_label
_atom_site_type_symbol
_atom_site_fract_x
_atom_site_fract_y
_atom_site_fract_z
Hf1 Hf 0.000 0.000 0.000
Ga1 Ga 0.000 0.500 0.500
Ag1 Ag 0.500 0.500 0.000
```

---

RbNiP2S | PBEsol | optimized geometry

Properties
Energy relative to the elements, uncorrected (eV per atom): 0.1625

```
data_RbNiP2S
_cell_length_a 4.396
_cell_length_b 4.396
_cell_length_c 5.092
_cell_angle_alpha 90.00
_cell_angle_beta 90.00
_cell_angle_gamma 90.00
_space_group_name_H-M_alt 'P 4/m m m'
_space_group_IT_number 123
_space_group_name_Hall '-P 4 2'
loop_
_atom_site_label
_atom_site_type_symbol
_atom_site_fract_x
_atom_site_fract_y
_atom_site_fract_z
Rb1 Rb 0.000 0.000 0.000
Ni1 Ni 0.500 0.500 0.500
P1 P 0.000 0.500 0.500
S1 S 0.500 0.500 0.000
```

---

BaOsC2 | PBEsol | optimized geometry

Properties
Formation enthalpy at 0 K (eV/atom): 2.25

```
data_BaOsC2
_cell_length_a 6.097
_cell_length_b 6.097
_cell_length_c 6.097
_cell_angle_alpha 90.00
_cell_angle_beta 90.00
_cell_angle_gamma 90.00
_space_group_name_H-M_alt 'F m -3 m'
_space_group_IT_number 225
_space_group_name_Hall '-F 4 2 3'
loop_
_atom_site_label
_atom_site_type_symbol
_atom_site_fract_x
_atom_site_fract_y
_atom_site_fract_z
Ba1 Ba 0.000 0.000 0.000
Os1 Os 0.000 0.000 0.500
C1 C 0.250 0.250 0.250
```

---

Li3TlN | PBEsol | optimized geometry

Properties
Energy relative to the elements, uncorrected (eV per atom): -0.2045

```
data_Li3TlN
_cell_length_a 4.058
_cell_length_b 4.058
_cell_length_c 4.058
_cell_angle_alpha 90.00
_cell_angle_beta 90.00
_cell_angle_gamma 90.00
_space_group_name_H-M_alt 'P m -3 m'
_space_group_IT_number 221
_space_group_name_Hall '-P 4 2 3'
loop_
_atom_site_label
_atom_site_type_symbol
_atom_site_fract_x
_atom_site_fract_y
_atom_site_fract_z
Li1 Li 0.000 0.000 0.500
Tl1 Tl 0.500 0.500 0.500
N1 N 0.000 0.000 0.000
```

---

Zn2WBr | PBEsol | optimized geometry

Properties
Energy relative to the elements, uncorrected (eV per atom): 0.3816
Polymorph energy (0 for the lowest one) (meV per atom): 0

```
data_Zn2WBr
_cell_length_a 3.0781
_cell_length_b 3.0781
_cell_length_c 24.5872
_cell_angle_alpha 90.00
_cell_angle_beta 90.00
_cell_angle_gamma 120.00
_space_group_name_H-M_alt 'R -3 m'
_space_group_IT_number 166
_space_group_name_Hall '-R 3 2"'
loop_
_atom_site_label
_atom_site_type_symbol
_atom_site_fract_x
_atom_site_fract_y
_atom_site_fract_z
Zn1 Zn 0.0000 0.0000 0.2484
W1 W 0.0000 0.0000 0.5000
Br1 Br 0.0000 0.0000 0.0000
```

---

NaNiSbN2 | PBEsol | optimized geometry

Properties
Energy relative to the elements, uncorrected (eV per atom): 1.1281

```
data_NaNiSbN2
_cell_length_a 3.824
_cell_length_b 3.824
_cell_length_c 5.098
_cell_angle_alpha 90.00
_cell_angle_beta 90.00
_cell_angle_gamma 90.00
_space_group_name_H-M_alt 'P 4/m m m'
_space_group_IT_number 123
_space_group_name_Hall '-P 4 2'
loop_
_atom_site_label
_atom_site_type_symbol
_atom_site_fract_x
_atom_site_fract_y
_atom_site_fract_z
Na1 Na 0.000 0.000 0.000
Ni1 Ni 0.500 0.500 0.500
Sb1 Sb 0.500 0.500 0.000
N1 N 0.000 0.500 0.500
```

---

Li8NiO4F2 | PBEsol | optimized geometry

Properties
Energy relative to the elements, uncorrected (eV per atom): -1.9715

```
data_Li8NiO4F2
_cell_length_a 5.145
_cell_length_b 5.286
_cell_length_c 5.612
_cell_angle_alpha 90.85
_cell_angle_beta 114.95
_cell_angle_gamma 109.05
_space_group_name_H-M_alt 'P -1'
_space_group_IT_number 2
_space_group_name_Hall '-P 1'
loop_
_atom_site_label
_atom_site_type_symbol
_atom_site_fract_x
_atom_site_fract_y
_atom_site_fract_z
Li1 Li 0.068 0.139 0.366
Li2 Li 0.082 0.243 0.955
Li3 Li 0.318 0.557 0.718
Li4 Li 0.426 0.798 0.376
Ni1 Ni 0.500 0.000 0.000
O1 O 0.294 0.193 0.754
O2 O 0.345 0.096 0.229
F1 F 0.078 0.490 0.288
```

---

Te3W | PBEsol | optimized geometry

Properties
Energy relative to the elements, uncorrected (eV per atom): 1.0296

```
data_Te3W
_cell_length_a 5.779
_cell_length_b 9.275
_cell_length_c 3.386
_cell_angle_alpha 90.00
_cell_angle_beta 90.00
_cell_angle_gamma 90.00
_space_group_name_H-M_alt 'C m m m'
_space_group_IT_number 65
_space_group_name_Hall '-C 2 2'
loop_
_atom_site_label
_atom_site_type_symbol
_atom_site_fract_x
_atom_site_fract_y
_atom_site_fract_z
Te1 Te 0.000 0.000 0.000
Te2 Te 0.250 0.250 0.500
W1 W 0.000 0.500 0.000
```